Material: Sr2Tm2O5
Method: DFT, GGA-PBE
State: relaxed

Geometry as POSCAR:
```
Sr2Tm2O5
1.0
-9.1516 2.3219 2.9857
-0.9214 -3.8632 0.1803
1.2071 -0.1112 3.7864
O Sr Tm
5 2 2
Direct
0.1244 0.5000 0.0000 O
0.8756 0.5000 0.0000 O
0.1244 0.0000 0.5000 O
0.8756 0.0000 0.5000 O
0.5000 0.5000 0.5000 O
0.2352 0.5000 0.5000 Sr
0.7648 0.5000 0.5000 Sr
0.0000 0.0000 0.0000 Tm
0.5000 0.0000 0.0000 Tm
```

* ρ: 6.29 g/cm³
* final energy: -6.172 eV per atom